Record 1
Here is a relaxed Th2P crystal from OQMD via LeMat-Bulk. Energies are from PBE.

Unit cell a=8.7070 b=8.7070 c=8.7070 alpha=60.00 beta=60.00 gamma=60.00
Last column: nearest neighbours and their distance in Å.
Fractional coordinates of all 6 atoms:
P 0.5000 0.5000 0.5000  4 Th 2.67
P 0.7500 0.7500 0.7500  4 Th 2.67
Th 0.6250 0.6250 0.1250  2 P 2.67
Th 0.1250 0.6250 0.6250  2 P 2.67
Th 0.6250 0.6250 0.6250  2 P 2.67
Th 0.6250 0.1250 0.6250  2 P 2.67

Properties
The uncorrected energy comes out at -33.10 eV per cell. The calculation puts the calculated density at 3.5 g/cm3.

=====

Record 2
Here is a relaxed DyCuSnTe3 crystal from OQMD via LeMat-Bulk. Energies are from PBE.

Unit cell a=7.5566 b=7.5566 c=11.1522 alpha=90.00 beta=90.00 gamma=32.65
Last column: nearest neighbours and their distance in Å.
Fractional coordinates of all 12 atoms:
Cu 0.4703 0.4703 0.2500  4 Te 2.66-2.70
Cu 0.5297 0.5297 0.7500  4 Te 2.66-2.70
Dy 0.0000 0.0000 0.0000  6 Te 3.05-3.08
Dy 0.0000 0.0000 0.5000  6 Te 3.05-3.08
Sn 0.7641 0.7641 0.2500  6 Te 3.23-3.35
Sn 0.2359 0.2359 0.7500  6 Te 3.23-3.35
Te 0.3543 0.3543 0.0656  1 Cu 2.66
Te 0.0853 0.0853 0.2500  2 Cu 2.70
Te 0.3543 0.3543 0.4344  1 Cu 2.66
Te 0.6457 0.6457 0.5656  1 Cu 2.66
Te 0.9147 0.9147 0.7500  2 Cu 2.70
Te 0.6457 0.6457 0.9344  1 Cu 2.66

Properties
The calculation puts the calculated density at 7.0 g/cm3. Its energy relative to the lowest polymorph listed for this composition is 0.004 eV/atom.

=====

Record 3
Here is a relaxed Ba2ZnB6O12 crystal from OQMD via LeMat-Bulk. Energies are from PBE.

Unit cell a=7.1517 b=7.1973 c=11.5543 alpha=96.75 beta=94.61 gamma=119.74
Last column: nearest neighbours and their distance in Å.
Fractional coordinates of all 42 atoms:
B 0.2521 0.0806 0.1256  3 O 1.33-1.41
B 0.8618 0.8278 0.1313  3 O 1.33-1.41
B 0.9975 0.2192 0.1325  3 O 1.33-1.41
B 0.3804 0.9553 0.3673  3 O 1.33-1.41
B 0.2499 0.5738 0.3771  3 O 1.33-1.40
B 0.6339 0.8219 0.3773  3 O 1.36-1.39
B 0.3661 0.1781 0.6227  3 O 1.36-1.39
B 0.7501 0.4262 0.6229  3 O 1.33-1.40
B 0.6196 0.0447 0.6327  3 O 1.33-1.41
B 0.0025 0.7808 0.8675  3 O 1.33-1.41
B 0.1382 0.1722 0.8687  3 O 1.33-1.41
B 0.7479 0.9194 0.8744  3 O 1.33-1.41
Ba 0.3467 0.6827 0.0561  9 O 2.74-3.05
Ba 0.7391 0.4241 0.2962  7 O 2.67-2.96
Ba 0.2609 0.5759 0.7038  7 O 2.67-2.96
Ba 0.6533 0.3173 0.9439  9 O 2.74-3.05
O 0.4490 0.1098 0.1191  1 B 1.33
O 0.0747 0.8704 0.1257  2 B 1.40-1.41
O 0.6933 0.6298 0.1286  1 B 1.33
O 0.9640 0.3842 0.1288  1 B 1.33
O 0.2083 0.2512 0.1298  2 B 1.41
O 0.8309 0.0080 0.1397  2 B 1.41
O 0.5915 0.9876 0.3641  2 B 1.39-1.41
O 0.2113 0.7445 0.3664  2 B 1.39-1.40
O 0.4591 0.6106 0.3690  2 B 1.39-1.40
O 0.3592 0.1301 0.3751  1 B 1.33
O 0.0876 0.3891 0.3994  1 B 1.33
O 0.8384 0.8564 0.4013  1 B 1.36
O 0.1616 0.1436 0.5987  1 B 1.36
O 0.9124 0.6109 0.6006  1 B 1.33
O 0.6408 0.8699 0.6249  1 B 1.33
O 0.5409 0.3894 0.6310  2 B 1.39-1.40
O 0.7887 0.2555 0.6336  2 B 1.39-1.40
O 0.4085 0.0124 0.6359  2 B 1.39-1.41
O 0.1691 0.9920 0.8603  2 B 1.41
O 0.7917 0.7488 0.8702  2 B 1.41
O 0.0360 0.6158 0.8712  1 B 1.33
O 0.3067 0.3702 0.8714  1 B 1.33
O 0.9253 0.1296 0.8743  2 B 1.40-1.41
O 0.5510 0.8902 0.8809  1 B 1.33
Zn 0.1061 0.1380 0.4110  3 O 1.90-1.96
Zn 0.8939 0.8620 0.5890  3 O 1.90-1.96

Properties
The uncorrected energy comes out at -314.80 eV per cell. The calculation puts the calculated density at 3.9 g/cm3.

=====

Record 4
Here is a relaxed GdPtSO crystal from OQMD via LeMat-Bulk. Energies are from PBE.

Unit cell a=6.4317 b=12.2782 c=7.4531 alpha=90.00 beta=90.00 gamma=90.00
Last column: nearest neighbours and their distance in Å.
Fractional coordinates of all 32 atoms:
Gd 0.0858 0.2046 0.1216  3 O 2.21-2.23
Gd 0.4142 0.7046 0.1216  3 O 2.21-2.23
Gd 0.5858 0.2046 0.3784  3 O 2.21-2.23
Gd 0.9142 0.7046 0.3784  3 O 2.21-2.23
Gd 0.0858 0.2954 0.6216  3 O 2.21-2.23
Gd 0.4142 0.7954 0.6216  3 O 2.21-2.23
Gd 0.5858 0.2954 0.8784  3 O 2.21-2.23
Gd 0.9142 0.7954 0.8784  3 O 2.21-2.23
O 0.7515 0.2452 0.1272  3 Gd 2.21-2.23
O 0.7485 0.7452 0.1272  3 Gd 2.21-2.23
O 0.2515 0.2452 0.3728  3 Gd 2.21-2.23
O 0.2485 0.7452 0.3728  3 Gd 2.21-2.23
O 0.7515 0.2548 0.6272  3 Gd 2.21-2.23
O 0.7485 0.7548 0.6272  3 Gd 2.21-2.23
O 0.2515 0.2548 0.8728  3 Gd 2.21-2.23
O 0.2485 0.7548 0.8728  3 Gd 2.21-2.23
Pt 0.7891 0.0100 0.0048  4 S 2.41-2.61
Pt 0.7109 0.5100 0.0048  4 S 2.41-2.61
Pt 0.2891 0.0100 0.4952  4 S 2.41-2.61
Pt 0.2109 0.5100 0.4952  4 S 2.41-2.61
Pt 0.7891 0.4900 0.5048  4 S 2.41-2.61
Pt 0.7109 0.9900 0.5048  4 S 2.41-2.61
Pt 0.2891 0.4900 0.9952  4 S 2.41-2.61
Pt 0.2109 0.9900 0.9952  4 S 2.41-2.61
S 0.0075 0.4922 0.2093  4 Pt 2.41-2.61
S 0.4925 0.9922 0.2093  4 Pt 2.41-2.61
S 0.5075 0.4922 0.2907  4 Pt 2.41-2.61
S 0.9925 0.9922 0.2907  4 Pt 2.41-2.61
S 0.0075 0.0078 0.7093  4 Pt 2.41-2.61
S 0.4925 0.5078 0.7093  4 Pt 2.41-2.61
S 0.5075 0.0078 0.7907  4 Pt 2.41-2.61
S 0.9925 0.5078 0.7907  4 Pt 2.41-2.61

Properties
The calculation puts the calculated density at 9.0 g/cm3. Its energy relative to the lowest polymorph listed for this composition is 0.000 eV/atom.

=====

Record 5
Here is a relaxed Be2Ni3Pb2 crystal from OQMD via LeMat-Bulk. Energies are from PBE.

Unit cell a=7.1552 b=7.1552 c=7.1552 alpha=34.05 beta=34.05 gamma=34.05
Last column: nearest neighbours and their distance in Å.
Fractional coordinates of all 7 atoms:
Be 0.2509 0.2509 0.2509  7 Ni 2.37-2.54
Be 0.7503 0.7503 0.7503  5 Ni 2.59-2.63, 6 Pb 2.84-2.87
Ni 0.3683 0.3683 0.3683  4 Be 2.37-2.61, 4 Pb 2.47-2.52
Ni 0.6219 0.6219 0.6219  4 Be 2.54-2.59, 4 Pb 2.60-2.66
Ni 0.8804 0.8804 0.8804  4 Be 2.53-2.63, 4 Pb 2.62-2.65
Pb 0.0103 0.0103 0.0103  7 Ni 2.47-2.66
Pb 0.4930 0.4930 0.4930  5 Ni 2.52-2.65

Properties
The uncorrected energy comes out at -30.24 eV per cell. The calculation puts the calculated density at 9.9 g/cm3.

=====

Record 6
Here is a relaxed NdSm2Ge7 crystal from OQMD via LeMat-Bulk. Energies are from PBE.

Unit cell a=13.0947 b=13.0947 c=4.2088 alpha=90.00 beta=90.00 gamma=162.15
Last column: nearest neighbours and their distance in Å.
Fractional coordinates of all 10 atoms:
Ge 0.7818 0.2182 0.0000  2 Ge 2.61
Ge 0.5951 0.4049 0.0000  6 Ge 2.93-3.24, 2 Sm 3.14, 2 Nd 3.19
Ge 0.4049 0.5951 0.0000  6 Ge 2.93-3.24, 2 Sm 3.14, 2 Nd 3.19
Ge 0.2182 0.7818 0.0000  2 Ge 2.61
Ge 0.9069 0.0931 0.5000  6 Ge 2.93-3.15, 2 Sm 3.13, 2 Nd 3.20
Ge 0.5000 0.5000 0.5000  4 Nd 2.92, 8 Ge 3.15-3.24
Ge 0.0931 0.9069 0.5000  6 Ge 2.93-3.15, 2 Sm 3.13, 2 Nd 3.20
Nd 0.0000 0.0000 0.0000  12 Ge 2.92-3.20
Sm 0.6853 0.3147 0.5000  10 Ge 3.05-3.27
Sm 0.3147 0.6853 0.5000  10 Ge 3.05-3.27

Properties
The uncorrected energy comes out at -51.81 eV per cell. The calculation puts the calculated density at 7.2 g/cm3.

=====

Record 7
Here is a relaxed LiAcNb crystal from OQMD via LeMat-Bulk. Energies are from PBE.

Unit cell a=4.9321 b=4.9321 c=4.9321 alpha=60.00 beta=60.00 gamma=60.00
Last column: nearest neighbours and their distance in Å.
Fractional coordinates of all 3 atoms:
Ac 0.2500 0.2500 0.2500  4 Nb 3.02
Li 0.7500 0.7500 0.7500  4 Nb 3.02
Nb 0.0000 0.0000 0.0000  4 Ac 3.02, 4 Li 3.02

Properties
The uncorrected energy comes out at -12.71 eV per cell. The calculation puts the calculated density at 6.4 g/cm3.

=====

Record 8
Here is a relaxed PmTmPu crystal from OQMD via LeMat-Bulk. Energies are from PBE.

Unit cell a=5.3553 b=5.3553 c=5.3553 alpha=60.00 beta=60.00 gamma=60.00
Last column: nearest neighbours and their distance in Å.
Fractional coordinates of all 3 atoms:
Pm 0.2500 0.2500 0.2500  4 Pu 3.28
Pu 0.0000 0.0000 0.0000  4 Tm 3.28, 4 Pm 3.28
Tm 0.7500 0.7500 0.7500  4 Pu 3.28

Properties
The calculation puts the calculated density at 8.5 g/cm3. Its energy relative to the lowest polymorph listed for this composition is 0.000 eV/atom.

=====

Record 9
Here is a relaxed TbCdNi crystal from OQMD via LeMat-Bulk. Energies are from PBE.

Unit cell a=4.5391 b=4.5391 c=4.5391 alpha=60.00 beta=60.00 gamma=60.00
Last column: nearest neighbours and their distance in Å.
Fractional coordinates of all 3 atoms:
Cd 0.2500 0.2500 0.2500  4 Ni 2.78
Ni 0.0000 0.0000 0.0000  4 Tb 2.78, 4 Cd 2.78
Tb 0.7500 0.7500 0.7500  4 Ni 2.78

Properties
The uncorrected energy comes out at -11.81 eV per cell. The calculation puts the calculated density at 8.3 g/cm3.

=====

Record 10
Here is a relaxed ZrZnCo2 crystal from OQMD via LeMat-Bulk. Energies are from PBE.

Unit cell a=4.4548 b=4.4548 c=6.9913 alpha=90.00 beta=90.00 gamma=120.00
Last column: nearest neighbours and their distance in Å.
Fractional coordinates of all 8 atoms:
Co 0.3333 0.6667 0.0887  1 Co 2.26, 1 Zn 2.37
Co 0.3333 0.6667 0.4113  1 Co 2.26, 1 Zn 2.37
Co 0.6667 0.3333 0.5887  1 Co 2.26, 1 Zn 2.37
Co 0.6667 0.3333 0.9113  1 Co 2.26, 1 Zn 2.37
Zn 0.6667 0.3333 0.2500  2 Co 2.37, 3 Zr 2.57
Zn 0.3333 0.6667 0.7500  2 Co 2.37, 3 Zr 2.57
Zr 0.0000 0.0000 0.2500  3 Zn 2.57, 6 Co 2.81
Zr 0.0000 0.0000 0.7500  3 Zn 2.57, 6 Co 2.81

Properties
The uncorrected energy comes out at -47.04 eV per cell. The calculation puts the calculated density at 7.6 g/cm3.